Below is crystalline TaTl2Au at its relaxed geometry, with properties calculated at the GGA-PBE level.

Summary:
VASP energy: -4.40 eV per atom
DOS at the Fermi energy: 2.7 states/eV/f.u.
ΔH_f (0 K): 0.5631 eV per atom

Cell lengths 3.1214, 4.2428, 6.4745 Å; angles 90.00, 90.00, 90.00 degrees
Sites, in units of the cell vectors:
Ta  0.0000  0.0000  0.0000
Tl  0.5000  0.5000  0.2432
Tl  0.5000  0.5000  0.7568
Au  0.0000  0.0000  0.5000

=====

Below is crystalline TaTlAu2 at its relaxed geometry, with properties calculated at the GGA-PBE level.

Summary:
VASP energy: -4.93 eV per atom
DOS at the Fermi energy: 2.0 states/eV/f.u.
ΔH_f (0 K): 0.2644 eV per atom

Cell lengths 9.3084, 3.1163, 5.5319 Å; angles 90.00, 98.92, 90.00 degrees
Sites, in units of the cell vectors:
Ta  0.0000  0.0000  0.0000
Ta  0.5000  0.5000  0.0000
Tl  0.2441  0.0000  0.7071
Tl  0.7441  0.5000  0.7071
Au  0.2413  0.5000  0.1953
Au  0.4896  0.0000  0.4486
Au  0.7413  0.0000  0.1953
Au  0.9896  0.5000  0.4486

=====

Below is crystalline TaTl2Au at its relaxed geometry, with properties calculated at the GGA-PBE level.

Summary:
VASP energy: -4.52 eV per atom
DOS at the Fermi energy: 2.2 states/eV/f.u.
ΔH_f (0 K): 0.4470 eV per atom

Cell lengths 3.1562, 5.5881, 9.9020 Å; angles 90.00, 90.00, 90.00 degrees
Sites, in units of the cell vectors:
Ta  0.0000  0.0000  0.0000
Ta  0.5000  0.5000  0.0000
Tl  0.0000  0.5000  0.2529
Tl  0.0000  0.5000  0.7471
Tl  0.5000  0.0000  0.2529
Tl  0.5000  0.0000  0.7471
Au  0.0000  0.0000  0.5000
Au  0.5000  0.5000  0.5000

=====

Below is crystalline Ta2TlAu at its relaxed geometry, with properties calculated at the GGA-PBE level.

Summary:
VASP energy: -7.05 eV per atom
DOS at the Fermi energy: 3.0 states/eV/f.u.
ΔH_f (0 K): 0.2854 eV per atom

Cell lengths 3.5453, 3.5453, 6.2617 Å; angles 90.00, 90.00, 90.00 degrees
Sites, in units of the cell vectors:
Ta  0.0000  0.0000  0.0000
Ta  0.5000  0.5000  0.2035
Tl  0.0000  0.0000  0.4873
Au  0.5000  0.5000  0.7416